# 1
GGA-PBE Li2InOs, relaxed; space group = Pm; energy of formation from the pure elements = 0.17 eV per atom; raw total energy = -4.28 eV per atom
1.0
4.361 0.000 0.000
0.000 2.694 0.026
0.000 1.214 5.372
In Li Os
1 2 1
Direct
0.500 0.805 0.739
0.000 0.117 0.020
0.500 0.122 0.251
0.000 0.455 0.490

---

# 2
GGA-PBE Sc2Ge2O7, relaxed; space group = Fd-3m; energy relative to the elements, uncorrected = -2.511 eV/atom; raw total energy = -7.66 eV per atom
1.0
-2.948 -5.164 -3.442
2.181 -6.447 0.946
-3.971 -4.518 3.322
Sc Ge O
4 4 14
Direct
0.625 0.625 0.625
0.125 0.625 0.625
0.625 0.125 0.625
0.625 0.625 0.125
0.125 0.625 0.125
0.125 0.125 0.625
0.625 0.125 0.125
0.125 0.125 0.125
0.750 0.750 0.750
0.208 0.792 0.792
0.208 0.792 0.208
0.792 0.792 0.208
0.792 0.208 0.792
0.208 0.208 0.792
0.458 0.042 0.042
0.792 0.208 0.208
0.042 0.458 0.042
0.042 0.042 0.458
0.458 0.458 0.042
0.458 0.042 0.458
0.042 0.458 0.458
0.500 0.500 0.500

---

# 3
GGA-PBE SrAlZnAu6, relaxed; space group = Imma; energy of formation from the pure elements = -0.28 eV per atom; raw total energy = -3.21 eV per atom
1.0
7.398 0.000 0.000
0.000 9.390 0.000
-3.699 -4.695 5.455
Sr Al Zn Au
2 2 2 12
Direct
0.722 0.472 0.444
0.278 0.528 0.556
0.500 0.500 0.000
0.500 0.000 0.000
0.500 0.000 0.500
0.000 0.000 0.500
0.583 0.833 0.167
0.973 0.223 0.947
0.926 0.126 0.254
0.329 0.628 0.254
0.329 0.126 0.254
0.926 0.628 0.254
0.417 0.167 0.833
0.027 0.777 0.053
0.074 0.874 0.746
0.671 0.372 0.746
0.671 0.874 0.746
0.074 0.372 0.746